This record from Alexandria via LeMat-Bulk describes a geometry-optimized CePm2ThAs4 structure. The functional is PBE-GGA.

## Properties
Uncorrected energy: -6.673 eV/atom
Magnetic moment: 0.79 μB per cell
Space-group type: P2/m

Cell: 4.244 7.335 7.346 Å, 70.48 90.00 90.00°
Fractional coordinates of all 8 atoms:
1 Ce 0.500 0.500 0.000
2 Pm 0.000 0.000 0.000
3 Pm 0.500 0.000 0.500
4 Th 0.000 0.500 0.500
5 As 0.000 0.748 0.751
6 As 0.000 0.252 0.249
7 As 0.500 0.748 0.250
8 As 0.500 0.252 0.750

---

This record from Alexandria via LeMat-Bulk describes a geometry-optimized Ce2PmTh3As6 structure. The functional is PBE-GGA.

## Properties
Uncorrected energy: -7.010 eV/atom
Magnetic moment: 1.44 μB per cell
Space-group type: C2/m

Cell: 4.243 8.482 9.483 Å, 102.86 102.93 90.00°
Fractional coordinates of all 12 atoms:
1 Ce 0.834 0.667 0.667
2 Ce 0.166 0.333 0.333
3 Pm 0.500 0.000 0.000
4 Th 0.500 0.500 0.000
5 Th 0.834 0.166 0.668
6 Th 0.166 0.834 0.332
7 As 0.333 0.915 0.666
8 As 0.667 0.582 0.334
9 As 0.667 0.085 0.334
10 As 0.001 0.251 0.001
11 As 0.999 0.749 0.999
12 As 0.333 0.418 0.666

---

This record from Alexandria via LeMat-Bulk describes a geometry-optimized Ce3PmTh2As6 structure. The functional is PBE-GGA.

## Properties
Uncorrected energy: -6.892 eV/atom
Magnetic moment: 2.32 μB per cell
Space-group type: C2/m

Cell: 7.336 7.336 7.346 Å, 99.57 99.57 119.99°
Fractional coordinates of all 12 atoms:
1 Ce 0.166 0.834 0.500
2 Ce 0.834 0.166 0.500
3 Ce 0.500 0.500 0.500
4 Pm 0.000 0.000 0.000
5 Th 0.333 0.667 0.000
6 Th 0.667 0.333 0.000
7 As 0.916 0.582 0.748
8 As 0.750 0.750 0.252
9 As 0.084 0.418 0.252
10 As 0.582 0.916 0.748
11 As 0.250 0.250 0.748
12 As 0.418 0.084 0.252

---

The evaluated formation enthalpy at 0 K for the records listed, in turn: -1.49 -1.45 -1.45 eV per atom.
The evaluated ρ for the records listed, in turn: 7.41 8.05 7.61 g cm⁻³.